Here is crystalline Tm12Sn6Os at its relaxed geometry from the Alexandria database. Energies are from GGA-PBE.

Summary:
DFT formation energy: -6.8 eV/f.u.
DOS at the Fermi energy: 15.29 states/eV/f.u.
crystal system: trigonal
SG: R-3

Cell lengths 8.5147, 8.5147, 8.5147 Å; angles 99.65, 99.65, 99.65 degrees
Fractional positions:
Tm 0.0182 0.6866 0.9437
Tm 0.0563 0.9818 0.3134
Tm 0.1967 0.4235 0.5562
Tm 0.3134 0.0563 0.9818
Tm 0.4235 0.5562 0.1967
Tm 0.4438 0.8033 0.5765
Tm 0.5562 0.1967 0.4235
Tm 0.5765 0.4438 0.8033
Tm 0.6866 0.9437 0.0182
Tm 0.8033 0.5765 0.4438
Tm 0.9437 0.0182 0.6866
Tm 0.9818 0.3134 0.0563
Sn 0.1226 0.6390 0.3121
Sn 0.3121 0.1226 0.6390
Sn 0.3610 0.6879 0.8774
Sn 0.6390 0.3121 0.1226
Sn 0.6879 0.8774 0.3610
Sn 0.8774 0.3610 0.6879
Os 0.0000 0.0000 0.0000

Here is crystalline DySi2Ni2Ir at its relaxed geometry from the Alexandria database. Energies are from GGA-PBE.

Summary:
DOS at the Fermi energy: 2.48 states/eV/f.u.
formation energy (no corrections): -0.12 eV per atom
crystal system: tetragonal
SG: P4/mmm

Cell lengths 4.5199, 4.5199, 5.3288 Å; angles 90.00, 90.00, 90.00 degrees
Fractional positions:
Dy 0.0000 0.0000 0.0000
Si 0.0000 0.5000 0.5000
Si 0.5000 0.0000 0.5000
Ni 0.5000 0.5000 0.2543
Ni 0.5000 0.5000 0.7457
Ir 0.0000 0.0000 0.5000

Here is crystalline SnPb at its relaxed geometry from the Alexandria database. Energies are from GGA-PBE.

Summary:
DFT formation energy: 0.6 eV/f.u.
DOS at the Fermi energy: 0.54 states/eV/f.u.
crystal system: cubic
SG: Pm-3n

Cell lengths 8.4183, 8.4183, 8.4183 Å; angles 90.00, 90.00, 90.00 degrees
Fractional positions:
Sn 0.0000 0.2500 0.5000
Sn 0.0000 0.7500 0.5000
Sn 0.2500 0.5000 0.0000
Sn 0.5000 0.0000 0.2500
Sn 0.5000 0.0000 0.7500
Sn 0.7500 0.5000 0.0000
Pb 0.0000 0.5000 0.2500
Pb 0.0000 0.5000 0.7500
Pb 0.2500 0.0000 0.5000
Pb 0.5000 0.2500 0.0000
Pb 0.5000 0.7500 0.0000
Pb 0.7500 0.0000 0.5000

Looking at magnetic moment for the records above, in order, we have 0.000 0.000 0.000 μB per cell.